LiAgSb2 after structural relaxation. Source: Alexandria via LeMat-Bulk, functional PBE.

Summary:
For the calculated total energy, the calculation gives -3.324 eV/atom. For the formation energy from raw total energies, the calculation gives -0.072 eV per atom. The symmetry is P6_3/mmc, No. 194. The calculation puts the calculated density at 5.9 g cm⁻³. Its relative energy among the computed polymorphs is 84 meV/atom. The calculation puts the total moment at 0.000 μB/atom.

a b c (Å): 4.4756 4.4758 11.7228
angles (deg): 90.00 90.00 120.00
Last column: nearest neighbours and their distance in Å.
Positions (direct):
1 Li 0.0000 0.0000 0.2500  3 Ag 2.58
2 Li 0.0000 0.0000 0.7500  3 Ag 2.58
3 Ag 0.6667 0.3335 0.2500  3 Li 2.58
4 Ag 0.3333 0.6665 0.7500  3 Li 2.58
5 Sb 0.6667 0.3334 0.6243  1 Sb 2.95, 3 Ag 2.97-2.98, 3 Li 2.97
6 Sb 0.3333 0.6666 0.1243  1 Sb 2.95, 3 Ag 2.97-2.98, 3 Li 2.97
7 Sb 0.3333 0.6666 0.3757  1 Sb 2.95, 3 Ag 2.97-2.98, 3 Li 2.97
8 Sb 0.6667 0.3334 0.8757  1 Sb 2.95, 3 Ag 2.97-2.98, 3 Li 2.97

---

Li3Ag2Sb2 after structural relaxation. Source: Alexandria via LeMat-Bulk, functional PBE.

Summary:
For the calculated total energy, the calculation gives -2.942 eV/atom. For the formation energy from raw total energies, the calculation gives -0.129 eV per atom. The symmetry is P2/m, No. 10. The calculation puts the calculated density at 5.5 g cm⁻³. Its relative energy among the computed polymorphs is 234 meV/atom. The calculation puts the total moment at 0.000 μB/atom.

a b c (Å): 4.6481 2.9385 10.7263
angles (deg): 90.00 99.53 90.00
Last column: nearest neighbours and their distance in Å.
Positions (direct):
1 Li 0.2779 0.0000 0.5737  3 Ag 2.63-2.81, 4 Li 2.80-2.94
2 Li 0.0000 0.0000 0.0000  2 Li 2.94, 4 Sb 3.08, 2 Ag 3.27
3 Li 0.7221 0.0000 0.4263  3 Ag 2.63-2.81, 4 Li 2.80-2.94
4 Ag 0.1751 0.0000 0.3080  3 Li 2.63-2.81, 2 Ag 2.94
5 Ag 0.8249 0.0000 0.6920  3 Li 2.63-2.81, 2 Ag 2.94
6 Sb 0.3767 0.5000 0.8327  2 Sb 2.94, 4 Li 3.08-3.11, 4 Ag 3.12-3.13
7 Sb 0.6233 0.5000 0.1673  2 Sb 2.94, 4 Li 3.08-3.11, 4 Ag 3.12-3.13